Computed, not measured: crystalline Rb2Tb3Se6 at its relaxed geometry at the PBE-GGA level of DFT.

Cell lengths 7.2208, 7.2217, 8.6002 Å; angles 81.96, 73.75, 60.00 degrees
With the nearest neighbours (Å) after each atom.
Fractional coordinates of all 11 atoms:
Tb 0.3335 0.3330 0.0000  6 Se 2.89
Tb 0.0000 0.0000 0.0000  6 Se 2.89
Tb 0.6665 0.6670 0.0000  6 Se 2.89
Rb 0.8333 0.3334 0.5000  6 Se 3.49
Rb 0.1667 0.6666 0.5000  6 Se 3.49
Se 0.7311 0.0000 0.8061  3 Tb 2.89
Se 0.3979 0.6668 0.8062  3 Tb 2.89
Se 0.2689 0.0000 0.1939  3 Tb 2.89
Se 0.9353 0.6668 0.1938  3 Tb 2.89
Se 0.0647 0.3332 0.8062  3 Tb 2.89
Se 0.6021 0.3332 0.1938  3 Tb 2.89

Computed properties:
E_tot   -54.81 eV per cell
Density   4.99 g/cm3
Crystal system   monoclinic